# 1
Ta2TcPt: relaxed, GGA-PBE.

abc: 4.540 4.540 4.540
angles: 60.00 60.00 60.00
Fractional coordinates of all 4 atoms:
Ta  0.000  0.000  0.000
Pt  0.500  0.500  0.500
Ta  0.250  0.250  0.250
Tc  0.750  0.750  0.750

Results
DOS at the Fermi energy: 5.58 states/eV/cell
electronic total energy: -10.15 eV/atom
space-group type: No. 216
DFT formation energy: -0.122 eV/atom

---

# 2
TaZnTcPt: relaxed, GGA-PBE.

abc: 4.439 4.439 4.439
angles: 60.00 60.00 60.00
Fractional coordinates of all 4 atoms:
Pt  0.500  0.500  0.500
Ta  0.250  0.250  0.250
Zn  0.750  0.750  0.750
Tc  0.000  0.000  0.000

Results
DOS at the Fermi energy: 0.65 states/eV/cell
electronic total energy: -7.77 eV/atom
space-group type: No. 216
DFT formation energy: -0.383 eV/atom